Below is a relaxed structure of Sc2HgMo, with properties calculated at the PBE-GGA level.

Computed properties:
DFT formation energy = 0.24 eV per atom
total DFT energy (no corrections) = -5.706 eV per atom

Cell: 3.2647 3.2647 30.4883 Å, 90.00 90.00 120.00°
Space group R-3m (No. 166, hexagonal axes)
One atom of each set of equivalent atoms:
Sc: 0.0000 0.0000 0.1022 (multiplicity 6)
Hg: 0.0000 0.0000 0.0000 (multiplicity 3)
Mo: 0.0000 0.0000 0.5000 (multiplicity 3)

Below is a relaxed structure of Rb2SmPd3F12, with properties calculated at the PBE-GGA level.

Computed properties:
uncorrected formation energy = -2155 meV per atom
total DFT energy (no corrections) = -4.637 eV per atom

Cell: 8.2847 8.2847 16.0560 Å, 90.00 90.00 120.00°
Space group R-3m (No. 166, hexagonal axes)
One atom of each set of equivalent atoms:
Rb: 0.0000 0.0000 0.1249 (multiplicity 6)
Sm: 0.0000 0.0000 0.5000 (multiplicity 3)
Pd: 0.0000 0.5000 0.0000 (multiplicity 9)
F: 0.0075 0.5038 0.1274 (multiplicity 18)
F: 0.1065 0.5533 0.3138 (multiplicity 18)